[1]
VASP calculation (PBE) on an optimized crystal structure of PdPtAu2.

The calculation puts the offset from the most stable computed form at 0.000 eV/atom.

The space group is R3m (No. 160, hexagonal axes) and the conventional cell measures 2.8507, 2.8507 and 28.5284 Å, with angles of 90.00, 90.00 and 120.00 degrees. Symmetry generates all atoms from Pd at (0.0000, 0.0000, 0.0000), Pt at (0.0000, 0.0000, 0.1672), Au at (0.0000, 0.0000, 0.5843) and Au at (0.0000, 0.0000, 0.7496).



[2]
VASP calculation (PBE) on an optimized crystal structure of Pd4Pt2Au5.

The calculation puts the offset from the most stable computed form at 0.000 eV/atom.

The space group is C2/m (No. 12) and the conventional cell measures 19.7193, 2.7654 and 6.9284 Å, with angles of 90.00, 93.49 and 90.00 degrees. Symmetry generates all atoms from Pd at (0.0446, 0.0000, 0.3628), Pd at (0.1704, 0.5000, 0.4791), Pt at (0.0887, 0.0000, 0.7363), Au at (0.0000, 0.5000, 0.0000), Au at (0.1416, 0.0000, 0.1105) and Au at (0.2314, 0.0000, 0.8026).



[3]
VASP calculation (PBE) on an optimized crystal structure of Pd4Pt4Au.

The calculation puts the offset from the most stable computed form at 0.215 eV/atom.

The space group is P4_2/nmc (No. 137, origin choice 2) and the conventional cell measures 5.7840, 5.7840 and 9.4145 Å, with angles of 90.00, 90.00 and 90.00 degrees. Symmetry generates all atoms from Pd at (0.0038, 0.2500, 0.0155), Pt at (0.0340, 0.2500, 0.3109) and Au at (0.2500, 0.7500, 0.2500).



[4]
VASP calculation (PBE) on an optimized crystal structure of Pd3Pt4Au.

The space group is Imm2 (No. 44) and the conventional cell measures 5.0949, 10.2925 and 6.6751 Å, with angles of 90.00, 90.00 and 90.00 degrees. Symmetry generates all atoms from Pd at (0.0000, 0.0000, 0.0000), Pd at (0.0000, 0.3671, 0.4171), Pt at (0.0000, 0.1268, 0.3506), Pt at (0.2500, 0.0000, 0.6402) and Au at (0.0000, 0.5000, 0.7702).



[5]
VASP calculation (PBE) on an optimized crystal structure of Pd12PtAu6.

The space group is R-3 (No. 148, hexagonal axes) and the conventional cell measures 9.7774, 9.7774 and 11.5996 Å, with angles of 90.00, 90.00 and 120.00 degrees. Symmetry generates all atoms from Pd at (0.0417, 0.8592, 0.3106), Pd at (0.0621, 0.2033, 0.9079), Pt at (0.0000, 0.0000, 0.5000) and Au at (0.0239, 0.5905, 0.2096).



[6]
VASP calculation (PBE) on an optimized crystal structure of PdPt3Au.

The calculation puts the offset from the most stable computed form at 0.000 eV/atom.

The space group is C2/m (No. 12) and the conventional cell measures 12.7848, 4.7949 and 5.5636 Å, with angles of 90.00, 108.34 and 90.00 degrees. Symmetry generates all atoms from Pd at (0.1000, 0.0000, 0.4559), Pt at (0.1007, 0.0000, 0.9579), Pt at (0.2037, 0.5000, 0.1531), Pt at (0.2047, 0.5000, 0.6533) and Au at (0.9999, 0.5000, 0.2512).



[7]
VASP calculation (PBE) on an optimized crystal structure of Pd6Pt3Au.

The calculation puts the offset from the most stable computed form at 0.081 eV/atom.

The space group is C2/m (No. 12) and the conventional cell measures 7.0162, 7.3158 and 6.9512 Å, with angles of 90.00, 101.70 and 90.00 degrees. Symmetry generates all atoms from Pd at (0.1213, 0.0000, 0.3827), Pd at (0.1238, 0.3127, 0.8360), Pt at (0.0000, 0.5000, 0.5000), Pt at (0.2153, 0.5000, 0.2311) and Au at (0.0000, 0.0000, 0.0000).



[8]
VASP calculation (PBE) on an optimized crystal structure of Pd7PtAu2.

The space group is Cmmm (No. 65) and the conventional cell measures 8.5659, 15.8777 and 2.7182 Å, with angles of 90.00, 90.00 and 90.00 degrees. Symmetry generates all atoms from Pd at (0.0000, 0.0000, 0.0000), Pd at (0.0000, 0.3249, 0.5000), Pd at (0.2300, 0.4121, 0.0000), Pt at (0.0000, 0.5000, 0.5000) and Au at (0.0000, 0.1758, 0.0000).



[9]
VASP calculation (PBE) on an optimized crystal structure of Pd2PtAu5.

The calculation puts the offset from the most stable computed form at 0.000 eV/atom.

The space group is I4/mcm (No. 140) and the conventional cell measures 7.0994, 7.0994 and 11.2394 Å, with angles of 90.00, 90.00 and 90.00 degrees. Symmetry generates all atoms from Pd at (0.1419, 0.3581, 0.0000), Pt at (0.0000, 0.0000, 0.2500), Au at (0.0000, 0.0000, 0.0000) and Au at (0.1518, 0.3482, 0.3377).



[10]
VASP calculation (PBE) on an optimized crystal structure of Pd12Pt2Au5.

The space group is C2/m (No. 12) and the conventional cell measures 17.6373, 5.5190 and 6.9662 Å, with angles of 90.00, 110.22 and 90.00 degrees. Symmetry generates all atoms from Pd at (0.0485, 0.0000, 0.1950), Pd at (0.1022, 0.2428, 0.8862), Pd at (0.1428, 0.5000, 0.5693), Pd at (0.1977, 0.2512, 0.2947), Pt at (0.0000, 0.2520, 0.5000), Au at (0.0000, 0.5000, 0.0000), Au at (0.1522, 0.0000, 0.5908) and Au at (0.2464, 0.5000, 0.9886).



no.,energy of formation (eV per atom),M_tot (μB per atom)
1,0.006,0.00
2,0.083,0.00
3,0.219,0.00
4,0.571,0.00
5,0.075,0.00
6,0.043,0.00
7,0.248,0.00
8,0.269,0.00
9,0.104,0.00
10,0.080,0.00